## Co2CuGe (PBE)

Data for a relaxed structure of Co2CuGe.

Cell and atoms, written as POSCAR:
```
Co2CuGe
1.0
3.5079 0.0000 0.0000
0.0000 3.5079 0.0000
1.7539 1.7539 8.6287
Ge Co Cu
2 4 2
Cartesian
3.5079 1.7539 4.3144 Ge
0.0000 0.0000 0.0000 Ge
2.5925 0.8770 2.1572 Co
2.6309 2.6694 6.4715 Co
0.9154 2.6309 2.1572 Co
4.3848 4.3464 6.4715 Co
1.7539 1.7539 0.0000 Cu
1.7539 3.5079 4.3144 Cu
```

## Properties
ΔE_f = 0.364 eV/atom

---

## Th2Sc5Sb4 (PBE)

Data for a relaxed structure of Th2Sc5Sb4.

Cell and atoms, written as POSCAR:
```
Th2Sc5Sb4
1.0
5.8767 0.0000 0.0000
2.9384 7.1227 0.0000
2.9384 0.0000 7.2821
Sc Sb Th
5 4 2
Cartesian
7.3459 3.5613 3.6410 Sc
2.9384 0.0000 0.0000 Sc
1.4692 3.5613 0.0000 Sc
4.4075 3.5613 0.0000 Sc
4.4075 3.5613 3.6410 Sc
5.8767 1.7618 5.1860 Sb
2.9384 1.7618 2.0961 Sb
5.8767 5.3608 2.0961 Sb
8.8151 5.3608 5.1860 Sb
5.8767 0.0000 2.2437 Th
2.9384 0.0000 5.0384 Th
```

## Properties
Total energy = -6.213 eV/atom

---

## LaReP2 (PBE)

Data for a relaxed structure of LaReP2.

Cell and atoms, written as POSCAR:
```
LaReP2
1.0
3.2549 0.0000 0.0000
0.0000 3.2549 0.0000
0.0000 0.0000 6.8047
P La Re
2 1 1
Cartesian
0.0000 0.0000 0.3646 P
1.6274 1.6274 1.8302 P
1.6274 1.6274 5.2393 La
0.0000 0.0000 2.7729 Re
```

## Properties
Energy relative to the lowest polymorph listed for this composition = 574 meV/atom
ΔE_f = -0.221 eV/atom

---

## Cd4TeP (PBE)

Data for a relaxed structure of Cd4TeP.

Cell and atoms, written as POSCAR:
```
Cd4TeP
1.0
0.0000 4.1396 4.1396
4.1396 0.0000 4.1396
4.1396 4.1396 0.0000
Te Cd P
1 4 1
Cartesian
0.0000 0.0000 0.0000 Te
3.1081 3.1081 3.1081 Cd
5.1710 5.1710 3.1081 Cd
5.1710 3.1081 5.1710 Cd
3.1081 5.1710 5.1710 Cd
6.2093 6.2093 6.2093 P
```

## Properties
Total energy = -1.656 eV/atom

---

## LaTlGa (PBE)

Data for a relaxed structure of LaTlGa.

Cell and atoms, written as POSCAR:
```
LaTlGa
1.0
-2.1806 2.6429 -1.2143
1.1770 -0.5861 -3.3891
-3.9561 -5.0948 1.4568
La Tl Ga
1 1 1
Cartesian
-1.6385 -0.0084 -2.5172 La
-4.3407 -2.4732 -3.0293 Tl
-2.6030 -2.3744 -0.4933 Ga
```

## Properties
Energy relative to the lowest polymorph listed for this composition = 160 meV/atom
ΔE_f = -0.296 eV/atom

---

## AcEr3In3 (PBE)

Data for a relaxed structure of AcEr3In3.

Cell and atoms, written as POSCAR:
```
AcEr3In3
1.0
5.2466 0.0000 0.0000
0.0000 9.5768 0.0000
0.0000 -4.7884 8.2938
Ac Er In
2 6 6
Cartesian
1.3116 4.7884 2.7646 Ac
3.9349 0.0000 5.5292 Ac
3.9349 5.8547 6.3870 Er
1.3116 -1.0663 1.9068 Er
3.9349 7.3923 0.0299 Er
3.9349 1.1182 1.8768 Er
1.3116 3.6702 6.4169 Er
1.3116 -2.6039 8.2638 Er
1.3116 -2.3376 5.1576 In
1.3116 1.4906 3.6906 In
1.3116 0.8470 7.7394 In
3.9349 7.1260 3.1362 In
3.9349 3.9414 0.5544 In
3.9349 3.2978 4.6032 In
```

## Properties
ΔE_f = -0.333 eV/atom

---

## Nd3BeP2Pt9 (PBE)

Data for a relaxed structure of Nd3BeP2Pt9.

Cell and atoms, written as POSCAR:
```
Nd3BeP2Pt9
1.0
-6.3165 0.1455 -0.0826
3.1654 -2.5383 -4.8439
-0.2221 -7.4944 3.7821
Nd P Pt Be
3 2 9 1
Cartesian
0.0000 0.0000 0.0000 Nd
-3.2355 -3.4368 -0.3134 Nd
-0.1377 -6.4504 -0.8311 Nd
-3.3357 -6.8176 1.3927 P
-0.0375 -3.0697 -2.5372 P
-5.0937 -5.4688 1.8620 Pt
-0.0652 -2.9865 -0.2740 Pt
1.7205 -4.4184 -3.0065 Pt
1.5827 -1.2691 -2.4220 Pt
-1.5304 -5.5509 1.9087 Pt
-1.8428 -4.3364 -3.0532 Pt
-3.3080 -6.9007 -0.8705 Pt
-1.5756 -1.1964 -2.4633 Pt
-3.1582 0.0727 -0.0413 Pt
-0.1110 -3.7472 1.8910 Be
```

## Properties
ΔE_f = -0.769 eV/atom

---

## Cs2HfBr2F4 (PBE)

Data for a relaxed structure of Cs2HfBr2F4.

Cell and atoms, written as POSCAR:
```
Cs2HfBr2F4
1.0
7.0358 0.1256 0.1812
-3.2672 6.2325 -0.1812
-3.2672 -2.3594 5.7715
Cs F Br Hf
2 4 2 1
Cartesian
0.2508 -0.1486 4.3739 Cs
0.2508 4.1473 1.3976 Cs
-3.2672 -0.7214 4.6367 F
1.4369 0.7863 1.1348 F
-3.2672 4.5945 0.9536 F
-0.9354 3.2124 4.6367 F
-4.6846 2.7767 4.0078 Br
-1.8497 1.0964 1.5825 Br
0.0000 0.0000 0.0000 Hf
```

## Properties
Total energy = -5.369 eV/atom

---

Number 1: DOS at the Fermi energy 1.3499 states/eV/atom. Number 2: DOS at the Fermi energy 0.9887 states/eV/atom. Number 3: DOS at the Fermi energy 0.6499 states/eV/atom. Number 4: DOS at the Fermi energy 0.5582 states/eV/atom. Number 5: DOS at the Fermi energy 0.9276 states/eV/atom. Number 6: DOS at the Fermi energy 0.9710 states/eV/atom. Number 7: DOS at the Fermi energy 0.2517 states/eV/atom. Number 8: DOS at the Fermi energy 0.0000 states/eV/atom.